Version w
## ReAsCl2 (PBEsol)

Data for a relaxed structure of ReAsCl2.

Cell: 2.875 4.389 5.216 Å, 90.00 90.00 90.00°
Space group Pmmm (No. 47)
One atom of each set of equivalent atoms:
Re  0.000  0.000  0.000
As  0.500  0.000  0.500
Cl  0.000  0.500  0.500
Cl  0.500  0.500  0.000

As for the crystal system: orthorhombic. The density of states at the Fermi level comes out at 3.75 states/eV per cell.

Version x
## ReAsCl2 (PBEsol)

Data for a relaxed structure of ReAsCl2.

Cell: 5.463 8.626 3.392 Å, 90.00 124.12 90.00°
Space group C2/m (No. 12)
One atom of each set of equivalent atoms:
Re  0.000  0.000  0.000
As  0.000  0.500  0.000
Cl  0.250  0.250  0.500

As for the crystal system: monoclinic. The density of states at the Fermi level comes out at 7.07 states/eV per cell.

Energy comparison, zero being the most stable, in kJ/mol of atoms: version w 2.1; version x 0.0.

Version w
## As2RhCl (PBEsol)

Data for a relaxed structure of As2RhCl.

Cell: 6.342 6.342 6.342 Å, 90.00 90.00 90.00°
Space group Fm-3m (No. 225)
One atom of each set of equivalent atoms:
As  0.250  0.250  0.250
Rh  0.000  0.000  0.000
Cl  0.000  0.000  0.500

As for the crystal system: cubic. The density of states at the Fermi level comes out at 9.03 states/eV per cell.

Version x
## As2RhCl (PBEsol)

Data for a relaxed structure of As2RhCl.

Cell: 5.087 5.087 5.291 Å, 90.00 90.00 90.00°
Space group I4/mmm (No. 139)
One atom of each set of equivalent atoms:
As  0.000  0.500  0.000
Rh  0.000  0.000  0.000
Cl  0.000  0.000  0.500

As for the crystal system: tetragonal. The density of states at the Fermi level comes out at 5.61 states/eV per cell.

Energy comparison, zero being the most stable, in kJ/mol of atoms: version w 12.3; version x 0.0.

Version w
## SbAs2Cl (PBEsol)

Data for a relaxed structure of SbAs2Cl.

Cell: 3.699 5.231 5.352 Å, 90.00 109.42 90.00°
Space group P2/m (No. 10)
One atom of each set of equivalent atoms:
Sb  0.000  0.000  0.000
As  0.177  0.500  0.833
Cl  0.500  0.000  0.500

As for the crystal system: monoclinic. The density of states at the Fermi level comes out at 1.28 states/eV per cell.

Version x
## SbAs2Cl (PBEsol)

Data for a relaxed structure of SbAs2Cl.

Cell: 4.0461 4.0461 19.4161 Å, 90.00 90.00 120.00°
Space group R-3m (No. 166, hexagonal axes)
One atom of each set of equivalent atoms:
Sb  0.0000  0.0000  0.0000
As  0.0000  0.0000  0.2545
Cl  0.0000  0.0000  0.5000

As for the crystal system: trigonal. The density of states at the Fermi level comes out at 8.42 states/eV per cell.

Version y
## SbAs2Cl (PBEsol)

Data for a relaxed structure of SbAs2Cl.

Cell: 3.595 3.595 6.829 Å, 90.00 90.00 90.00°
Space group P4/mmm (No. 123)
One atom of each set of equivalent atoms:
Sb  0.000  0.000  0.000
As  0.500  0.500  0.204
Cl  0.000  0.000  0.500

As for the crystal system: tetragonal. The density of states at the Fermi level comes out at 1.77 states/eV per cell.

Energy comparison, zero being the most stable, in kJ/mol of atoms: version w 0.0; version x 20.2; version y 18.3.

Version w
## TlAs2SeCl (PBEsol)

Data for a relaxed structure of TlAs2SeCl.

Cell: 5.322 5.322 5.210 Å, 90.00 90.00 90.00°
Space group P4/mmm (No. 123)
One atom of each set of equivalent atoms:
Tl  0.000  0.000  0.000
As  0.000  0.500  0.000
Se  0.000  0.000  0.500
Cl  0.500  0.500  0.500

As for the crystal system: tetragonal. The density of states at the Fermi level comes out at 4.84 states/eV per cell.

Version x
## TlAs2SeCl (PBEsol)

Data for a relaxed structure of TlAs2SeCl.

Cell: 4.984 4.984 4.948 Å, 90.00 90.00 90.00°
Space group P4/mmm (No. 123)
One atom of each set of equivalent atoms:
Tl  0.000  0.000  0.000
As  0.000  0.500  0.500
Se  0.500  0.500  0.000
Cl  0.500  0.500  0.500

As for the crystal system: tetragonal. The density of states at the Fermi level comes out at 7.11 states/eV per cell.

Energy comparison, zero being the most stable, in kJ/mol of atoms: version w 25.8; version x 0.0.

Version w
## SiAsCl2 (PBEsol)

Data for a relaxed structure of SiAsCl2.

Cell: 3.156 4.311 12.475 Å, 90.00 90.00 90.00°
Space group Imm2 (No. 44)
One atom of each set of equivalent atoms:
Si  0.000  0.000  0.000
As  0.000  0.500  0.671
Cl  0.000  0.000  0.454
Cl  0.000  0.500  0.205

As for the crystal system: orthorhombic. The density of states at the Fermi level comes out at 2.86 states/eV per cell.

Version x
## SiAsCl2 (PBEsol)

Data for a relaxed structure of SiAsCl2.

Cell: 10.179 3.732 5.289 Å, 90.00 103.04 90.00°
Space group Cm (No. 8)
One atom of each set of equivalent atoms:
Si  0.000  0.000  0.000
As  0.069  0.500  0.293
Cl  0.177  0.000  0.852
Cl  0.396  0.000  0.484

As for the crystal system: monoclinic. The density of states at the Fermi level comes out at 3.11 states/eV per cell.

Energy comparison, zero being the most stable, in kJ/mol of atoms: version w 30.4; version x 0.0.

Version w
## TcAs2Cl (PBEsol)

Data for a relaxed structure of TcAs2Cl.

Cell: 3.075 3.075 7.199 Å, 90.00 90.00 90.00°
Space group P4/mmm (No. 123)
One atom of each set of equivalent atoms:
Tc  0.000  0.000  0.000
As  0.500  0.500  0.202
Cl  0.000  0.000  0.500

As for the crystal system: tetragonal. The density of states at the Fermi level comes out at 1.76 states/eV per cell.

Version x
## TcAs2Cl (PBEsol)

Data for a relaxed structure of TcAs2Cl.

Cell: 4.103 4.103 7.527 Å, 90.00 90.00 90.00°
Space group I4/mmm (No. 139)
One atom of each set of equivalent atoms:
Tc  0.000  0.000  0.000
As  0.000  0.500  0.250
Cl  0.000  0.000  0.500

As for the crystal system: tetragonal. The density of states at the Fermi level comes out at 3.73 states/eV per cell.

Version y
## TcAs2Cl (PBEsol)

Data for a relaxed structure of TcAs2Cl.

Cell: 6.422 6.422 6.422 Å, 90.00 90.00 90.00°
Space group Fm-3m (No. 225)
One atom of each set of equivalent atoms:
Tc  0.000  0.000  0.000
As  0.250  0.250  0.250
Cl  0.000  0.000  0.500

As for the crystal system: cubic. The density of states at the Fermi level comes out at 9.24 states/eV per cell.

Version z
## TcAs2Cl (PBEsol)

Data for a relaxed structure of TcAs2Cl.

Cell: 4.976 8.407 3.133 Å, 90.00 90.00 90.00°
Space group Cmmm (No. 65)
One atom of each set of equivalent atoms:
Tc  0.000  0.000  0.000
As  0.250  0.250  0.500
Cl  0.000  0.500  0.000

As for the crystal system: orthorhombic. The density of states at the Fermi level comes out at 6.20 states/eV per cell.

Energy comparison, zero being the most stable, in kJ/mol of atoms: version w 0.0; version x 54.9; version y 70.3; version z 60.7.

Version w
## Tc2AsCl (PBEsol)

Data for a relaxed structure of Tc2AsCl.

Cell: 2.962 5.156 7.946 Å, 90.00 90.00 90.00°
Space group Cmmm (No. 65)
One atom of each set of equivalent atoms:
Tc  0.000  0.000  0.239
As  0.000  0.500  0.000
Cl  0.000  0.500  0.500

As for the crystal system: orthorhombic. The density of states at the Fermi level comes out at 8.39 states/eV per cell.

Version x
## Tc2AsCl (PBEsol)

Data for a relaxed structure of Tc2AsCl.

Cell: 2.856 5.364 7.994 Å, 90.00 90.00 90.00°
Space group Immm (No. 71)
One atom of each set of equivalent atoms:
Tc  0.000  0.000  0.249
As  0.000  0.500  0.500
Cl  0.000  0.500  0.000

As for the crystal system: orthorhombic. The density of states at the Fermi level comes out at 8.32 states/eV per cell.

Version y
## Tc2AsCl (PBEsol)

Data for a relaxed structure of Tc2AsCl.

Cell: 2.9354 2.9354 23.1102 Å, 90.00 90.00 120.00°
Space group R-3m (No. 166, hexagonal axes)
One atom of each set of equivalent atoms:
Tc  0.0000  0.0000  0.2478
As  0.0000  0.0000  0.5000
Cl  0.0000  0.0000  0.0000

As for the crystal system: trigonal. The density of states at the Fermi level comes out at 12.10 states/eV per cell.

Version z
## Tc2AsCl (PBEsol)

Data for a relaxed structure of Tc2AsCl.

Cell: 6.062 6.062 6.062 Å, 90.00 90.00 90.00°
Space group Fm-3m (No. 225)
One atom of each set of equivalent atoms:
Tc  0.250  0.250  0.250
As  0.000  0.000  0.000
Cl  0.000  0.000  0.500

As for the crystal system: cubic. The density of states at the Fermi level comes out at 15.21 states/eV per cell.

Energy comparison, zero being the most stable, in kJ/mol of atoms: version w 24.0; version x 32.5; version y 0.0; version z 16.2.

Version w
## TcAsCl (PBEsol)

Data for a relaxed structure of TcAsCl.

Cell: 6.085 6.085 6.085 Å, 90.00 90.00 90.00°
Space group F-43m (No. 216)
One atom of each set of equivalent atoms:
Tc  0.000  0.000  0.000
As  0.000  0.000  0.500
Cl  0.250  0.250  0.750

As for the crystal system: cubic. The density of states at the Fermi level comes out at 5.66 states/eV per cell.

Version x
## TcAsCl (PBEsol)

Data for a relaxed structure of TcAsCl.

Cell: 3.0393 3.0393 7.1559 Å, 90.00 90.00 120.00°
Space group P3m1 (No. 156)
One atom of each set of equivalent atoms:
Tc  0.0000  0.0000  0.0000
As  0.3333  0.6667  0.7499
Cl  0.6667  0.3333  0.2493

As for the crystal system: trigonal. The density of states at the Fermi level comes out at 3.32 states/eV per cell.

Energy comparison, zero being the most stable, in kJ/mol of atoms: version w 132.6; version x 0.0.

Version w
## TeAsCl2 (PBEsol)

Data for a relaxed structure of TeAsCl2.

Cell: 4.312 4.312 8.883 Å, 90.00 90.00 90.00°
Space group I4/mmm (No. 139)
One atom of each set of equivalent atoms:
Te  0.000  0.000  0.000
As  0.000  0.000  0.500
Cl  0.000  0.500  0.250

As for the crystal system: tetragonal. The density of states at the Fermi level comes out at 4.49 states/eV per cell.

Version x
## TeAsCl2 (PBEsol)

Data for a relaxed structure of TeAsCl2.

Cell: 3.2359 3.2359 29.7694 Å, 90.00 90.00 120.00°
Space group R-3m (No. 166, hexagonal axes)
One atom of each set of equivalent atoms:
Te  0.0000  0.0000  0.0000
As  0.0000  0.0000  0.5000
Cl  0.0000  0.0000  0.4218

As for the crystal system: trigonal. The density of states at the Fermi level comes out at 6.63 states/eV per cell.

Energy comparison, zero being the most stable, in kJ/mol of atoms: version w 23.2; version x 0.0.

Version w
## TlAsCl2 (PBEsol)

Data for a relaxed structure of TlAsCl2.

Cell: 4.035 4.035 11.937 Å, 90.00 90.00 90.00°
Space group I-4m2 (No. 119)
One atom of each set of equivalent atoms:
Tl  0.000  0.000  0.000
As  0.000  0.500  0.250
Cl  0.000  0.000  0.500
Cl  0.000  0.500  0.750

As for the crystal system: tetragonal. The density of states at the Fermi level comes out at 4.88 states/eV per cell.

Version x
## TlAsCl2 (PBEsol)

Data for a relaxed structure of TlAsCl2.

Cell: 4.734 3.610 6.427 Å, 90.00 111.11 90.00°
Space group P2/m (No. 10)
One atom of each set of equivalent atoms:
Tl  0.000  0.000  0.000
As  0.500  0.000  0.500
Cl  0.344  0.500  0.716

As for the crystal system: monoclinic. The density of states at the Fermi level comes out at 1.09 states/eV per cell.

Energy comparison, zero being the most stable, in kJ/mol of atoms: version w 25.3; version x 0.0.

Version w
## Zn2AsCl (PBEsol)

Data for a relaxed structure of Zn2AsCl.

Cell: 13.340 3.643 3.582 Å, 90.00 90.57 90.00°
Space group Cm (No. 8)
One atom of each set of equivalent atoms:
Zn  0.000  0.000  0.000
Zn  0.159  0.500  0.007
As  0.136  0.000  0.505
Cl  0.392  0.000  0.996

As for the crystal system: monoclinic. The density of states at the Fermi level comes out at 1.27 states/eV per cell.

Version x
## Zn2AsCl (PBEsol)

Data for a relaxed structure of Zn2AsCl.

Cell: 12.161 2.792 4.595 Å, 90.00 111.60 90.00°
Space group C2/m (No. 12)
One atom of each set of equivalent atoms:
Zn  0.220  0.000  0.222
As  0.000  0.500  0.000
Cl  0.000  0.000  0.500

As for the crystal system: monoclinic. The density of states at the Fermi level comes out at 3.36 states/eV per cell.

Version y
## Zn2AsCl (PBEsol)

Data for a relaxed structure of Zn2AsCl.

Cell: 5.577 5.577 11.726 Å, 90.00 90.00 90.00°
Space group I-42d (No. 122)
One atom of each set of equivalent atoms:
Zn  0.216  0.250  0.125
As  0.000  0.000  0.000
Cl  0.000  0.000  0.500

As for the crystal system: tetragonal.

Energy comparison, zero being the most stable, in kJ/mol of atoms: version w 13.1; version x 58.7; version y 0.0.

Version w
## CoAs3 (PBEsol)

Data for a relaxed structure of CoAs3.

Cell: 8.156 8.156 8.156 Å, 90.00 90.00 90.00°
Space group Im-3 (No. 204)
One atom of each set of equivalent atoms:
Co  0.250  0.250  0.250
As  0.000  0.341  0.153

As for the crystal system: cubic. The density of states at the Fermi level comes out at 0.75 states/eV per cell.

Version x
## CoAs3 (PBEsol)

Data for a relaxed structure of CoAs3.

Cell: 7.299 7.272 5.038 Å, 90.00 90.00 90.00°
Space group Cmcm (No. 63)
One atom of each set of equivalent atoms:
Co  0.000  0.038  0.250
As  0.000  0.498  0.750
As  0.213  0.193  0.750

As for the crystal system: orthorhombic. The density of states at the Fermi level comes out at 12.74 states/eV per cell.

Energy comparison, zero being the most stable, in kJ/mol of atoms: version w 0.0; version x 59.8.